[1]
Below is a relaxed structure of MnBi2Ir, with properties calculated at the GGA-PBE level.

POSCAR file:
```
MnBi2Ir
1.0
0.000 3.493 3.493
3.493 0.000 3.493
3.493 3.493 0.000
Bi Ir Mn
2 1 1
direct
0.250 0.250 0.250 Bi
0.750 0.750 0.750 Bi
0.500 0.500 0.500 Ir
0.000 0.000 0.000 Mn
```

Summary:
Crystal system ... cubic
Polymorph energy (0 for the lowest one) ... 0 kJ/mol of formula units
Total energy ... -24.1 eV/cell


[2]
Below is a relaxed structure of Mg2ZrInN, with properties calculated at the GGA-PBE level.

POSCAR file:
```
Mg2ZrInN
1.0
-3.322 2.763 -0.610
-0.792 -1.811 -3.890
-2.816 -2.956 1.948
Zr Mg In N
1 2 1 1
direct
0.000 0.000 0.500 Zr
0.500 0.000 0.000 Mg
0.000 0.500 0.000 Mg
0.500 0.500 0.500 In
0.000 0.000 0.000 N
```

Summary:
Crystal system ... tetragonal
E_form (uncorrected) ... -0.598 eV per atom
Total energy ... -25.8 eV/cell


[3]
Below is a relaxed structure of CsK2Au2, with properties calculated at the GGA-PBE level.

POSCAR file:
```
CsK2Au2
1.0
5.313 0.000 0.000
0.000 5.313 0.000
2.657 2.657 7.156
Au K Cs
2 2 1
direct
0.401 0.401 0.197 Au
0.599 0.599 0.803 Au
0.750 0.250 0.500 K
0.250 0.750 0.500 K
0.000 0.000 0.000 Cs
```

Summary:
Crystal system ... tetragonal
Polymorph energy (0 for the lowest one) ... 4 kJ/mol of formula units
Total energy ... -10.9 eV/cell


[4]
Below is a relaxed structure of Sr2UAs4Pd3, with properties calculated at the GGA-PBE level.

POSCAR file:
```
Sr2UAs4Pd3
1.0
4.450 0.000 0.000
0.000 4.450 0.000
0.000 0.000 11.353
U Pd Sr As
1 3 2 4
direct
0.500 0.500 0.500 U
0.000 0.000 0.500 Pd
0.500 0.000 0.886 Pd
0.000 0.500 0.114 Pd
0.500 0.000 0.223 Sr
0.000 0.500 0.777 Sr
0.000 0.000 0.000 As
0.000 0.500 0.344 As
0.500 0.000 0.656 As
0.500 0.500 0.000 As
```

Summary:
Crystal system ... tetragonal
Total energy ... -55.9 eV/cell


[5]
Below is a relaxed structure of Sr2Mg, with properties calculated at the GGA-PBE level.

POSCAR file:
```
Sr2Mg
1.0
3.139 -9.334 0.000
3.139 9.334 0.000
0.000 0.000 4.324
Sr Mg
4 2
direct
0.972 0.028 0.000 Sr
0.472 0.528 0.500 Sr
0.655 0.345 0.000 Sr
0.290 0.710 0.000 Sr
0.128 0.872 0.500 Mg
0.817 0.183 0.500 Mg
```

Summary:
Crystal system ... orthorhombic
Total energy ... -9.8 eV/cell


[6]
Below is a relaxed structure of ErBRu2C, with properties calculated at the GGA-PBE level.

POSCAR file:
```
ErBRu2C
1.0
3.527 0.000 0.000
-1.763 5.410 0.000
0.000 0.000 6.989
C Ru Er B
2 4 2 2
direct
0.000 0.000 0.500 C
0.000 0.000 0.000 C
0.170 0.340 0.935 Ru
0.170 0.340 0.565 Ru
0.830 0.660 0.435 Ru
0.830 0.660 0.065 Ru
0.451 0.901 0.750 Er
0.549 0.099 0.250 Er
0.275 0.549 0.250 B
0.725 0.451 0.750 B
```

Summary:
Crystal system ... orthorhombic
Total energy ... -81.4 eV/cell


[7]
Below is a relaxed structure of TbPm4Th2, with properties calculated at the GGA-PBE level.

POSCAR file:
```
TbPm4Th2
1.0
5.743 -0.004 -0.027
0.003 9.408 -3.930
-0.012 -2.174 5.419
Pm Tb Th
4 1 2
direct
0.001 0.271 0.774 Pm
0.999 0.728 0.226 Pm
0.500 0.670 0.504 Pm
0.500 0.330 0.496 Pm
0.000 0.000 0.000 Tb
0.000 0.500 0.500 Th
0.500 0.000 0.500 Th
```

Summary:
Crystal system ... triclinic
Total energy ... -36.0 eV/cell


[8]
Below is a relaxed structure of TlGa2Tc2, with properties calculated at the GGA-PBE level.

POSCAR file:
```
TlGa2Tc2
1.0
-6.437 1.479 -2.980
-2.129 -6.819 1.214
-1.104 0.844 2.804
Ga Tc Tl
4 4 2
direct
0.633 0.133 0.000 Ga
0.367 0.867 0.000 Ga
0.867 0.633 0.000 Ga
0.133 0.367 0.000 Ga
0.159 0.659 0.500 Tc
0.341 0.159 0.500 Tc
0.659 0.841 0.500 Tc
0.841 0.341 0.500 Tc
0.500 0.500 0.000 Tl
0.000 0.000 0.000 Tl
```

Summary:
Crystal system ... tetragonal
Polymorph energy (0 for the lowest one) ... 77 kJ/mol of formula units
Total energy ... -55.1 eV/cell


[9]
Below is a relaxed structure of AlCoSe2Br, with properties calculated at the GGA-PBE level.

POSCAR file:
```
AlCoSe2Br
1.0
4.665 0.000 0.000
0.000 4.665 0.000
0.000 0.000 5.309
Co Al Se Br
1 1 2 1
direct
0.000 0.000 0.000 Co
0.500 0.500 0.500 Al
0.000 0.500 0.000 Se
0.500 0.000 0.000 Se
0.000 0.000 0.500 Br
```

Summary:
Crystal system ... tetragonal
E_form (uncorrected) ... 0.221 eV per atom
Polymorph energy (0 for the lowest one) ... 0 kJ/mol of formula units
Total energy ... -18.4 eV/cell


[10]
Below is a relaxed structure of CuAsP2, with properties calculated at the GGA-PBE level.

POSCAR file:
```
CuAsP2
1.0
2.637 0.000 0.000
0.000 4.733 0.000
0.000 0.000 4.862
As P Cu
1 2 1
direct
0.500 0.000 0.500 As
0.000 0.000 0.000 P
0.500 0.500 0.000 P
0.000 0.500 0.500 Cu
```

Summary:
Crystal system ... orthorhombic
Total energy ... -17.5 eV/cell


[11]
Below is a relaxed structure of CrAg3Hg, with properties calculated at the GGA-PBE level.

POSCAR file:
```
CrAg3Hg
1.0
5.065 0.000 0.000
0.000 5.065 0.000
0.000 0.000 5.065
Ag Hg Cr
3 1 1
direct
0.000 0.000 0.500 Ag
0.000 0.500 0.000 Ag
0.500 0.000 0.000 Ag
0.500 0.500 0.500 Hg
0.000 0.000 0.000 Cr
```

Summary:
Crystal system ... cubic
Polymorph energy (0 for the lowest one) ... 0 kJ/mol of formula units
Total energy ... -13.7 eV/cell


[12]
Below is a relaxed structure of MgNbIn2Ge, with properties calculated at the GGA-PBE level.

POSCAR file:
```
MgNbIn2Ge
1.0
-4.786 1.623 -1.552
1.188 -0.893 -4.597
-1.831 -4.936 0.486
In Ge Mg Nb
2 1 1 1
direct
0.500 0.000 0.000 In
0.000 0.000 0.500 In
0.000 0.000 0.000 Ge
0.000 0.500 0.000 Mg
0.500 0.500 0.500 Nb
```

Summary:
Crystal system ... tetragonal
Total energy ... -17.1 eV/cell